#A
Here is an optimized crystal structure of BaLuBi2 from Alexandria. Energies are from GGA-PBE.

The value obtained for the total magnetic moment is 0.00 μB/f.u.

The space group is R-3m (No. 166, hexagonal axes) and the conventional cell measures 4.7388, 4.7388 and 23.2920 Å, with angles of 90.00, 90.00 and 120.00 degrees. The asymmetric unit holds Ba at (0.0000, 0.0000, 0.0000), Lu at (0.0000, 0.0000, 0.5000) and Bi at (0.0000, 0.0000, 0.2340).



#B
Here is an optimized crystal structure of BaLuBi2 from Alexandria. Energies are from GGA-PBE.

The value obtained for the total magnetic moment is 0.00 μB/f.u.

The space group is P4/mmm (No. 123) and the conventional cell measures 3.9112, 3.9112 and 8.7793 Å, with angles of 90.00, 90.00 and 90.00 degrees. The asymmetric unit holds Ba at (0.0000, 0.0000, 0.0000), Lu at (0.0000, 0.0000, 0.5000) and Bi at (0.5000, 0.5000, 0.2869).



Energetically preferred structure: #A | next structure: +87 meV per atom



#A
Here is an optimized crystal structure of BaMg2Bi2 from Alexandria. Energies are from GGA-PBE.

The value obtained for the total magnetic moment is 0.00 μB/f.u.

The space group is Fddd (No. 70, origin choice 2) and the conventional cell measures 9.9640, 11.9487 and 12.1397 Å, with angles of 90.00, 90.00 and 90.00 degrees. The asymmetric unit holds Ba at (0.1250, 0.1250, 0.1250), Mg at (0.1250, 0.2568, 0.6250) and Bi at (0.1250, 0.1250, 0.4159).



#B
Here is an optimized crystal structure of BaMg2Bi2 from Alexandria. Energies are from GGA-PBE.

The value obtained for the total magnetic moment is 0.00 μB/f.u.

The space group is P4/mbm (No. 127) and the conventional cell measures 8.9405, 8.9405 and 3.8535 Å, with angles of 90.00, 90.00 and 90.00 degrees. The asymmetric unit holds Ba at (0.0000, 0.0000, 0.0000), Mg at (0.1184, 0.3816, 0.0000) and Bi at (0.1762, 0.6762, 0.5000).



#C
Here is an optimized crystal structure of BaMg2Bi2 from Alexandria. Energies are from GGA-PBE.

The value obtained for the total magnetic moment is 0.00 μB/f.u.

The space group is P-3m1 (No. 164) and the conventional cell measures 4.9336, 4.9336 and 8.3466 Å, with angles of 90.00, 90.00 and 120.00 degrees. The asymmetric unit holds Ba at (0.0000, 0.0000, 0.0000), Mg at (0.3333, 0.6667, 0.6229) and Bi at (0.3333, 0.6667, 0.2641).



Energetically preferred structure: #C | next structure: +73 meV per atom



#A
Here is an optimized crystal structure of BaMg2Bi2 from Alexandria. Energies are from GGA-PBE.

The value obtained for the total magnetic moment is 0.00 μB/f.u.

The space group is P4/mbm (No. 127) and the conventional cell measures 9.2115, 9.2115 and 3.7583 Å, with angles of 90.00, 90.00 and 90.00 degrees. The asymmetric unit holds Ba at (0.0000, 0.0000, 0.0000), Mg at (0.1340, 0.3660, 0.5000) and Bi at (0.1547, 0.6547, 0.0000).



#B
Here is an optimized crystal structure of BaMg2Bi2 from Alexandria. Energies are from GGA-PBE.

The value obtained for the total magnetic moment is 0.00 μB/f.u.

The space group is I4/mmm (No. 139) and the conventional cell measures 4.6925, 4.6925 and 15.1156 Å, with angles of 90.00, 90.00 and 90.00 degrees. The asymmetric unit holds Ba at (0.0000, 0.0000, 0.0000), Mg at (0.0000, 0.5000, 0.2500) and Bi at (0.0000, 0.0000, 0.3737).



Energetically preferred structure: #B | next structure: +291 meV per atom



#A
Here is an optimized crystal structure of BaMg6Bi from Alexandria. Energies are from GGA-PBE.

The value obtained for the total magnetic moment is 0.00 μB/f.u.

The space group is Amm2 (No. 38) and the conventional cell measures 5.0067, 6.1691 and 15.9779 Å, with angles of 90.00, 90.00 and 90.00 degrees. The asymmetric unit holds Ba at (0.0000, 0.0000, 0.0000), Mg at (0.0000, 0.2462, 0.7228), Mg at (0.5000, 0.0000, 0.1673), Mg at (0.5000, 0.0000, 0.6362), Mg at (0.5000, 0.2385, 0.8417) and Bi at (0.0000, 0.0000, 0.3980).



#B
Here is an optimized crystal structure of BaMg6Bi from Alexandria. Energies are from GGA-PBE.

The value obtained for the total magnetic moment is 0.00 μB/f.u.

The space group is Amm2 (No. 38) and the conventional cell measures 5.0029, 6.6456 and 14.0858 Å, with angles of 90.00, 90.00 and 90.00 degrees. The asymmetric unit holds Ba at (0.0000, 0.0000, 0.0000), Mg at (0.0000, 0.0000, 0.5786), Mg at (0.0000, 0.2229, 0.2675), Mg at (0.5000, 0.0000, 0.4220), Mg at (0.5000, 0.2405, 0.1396) and Bi at (0.5000, 0.0000, 0.8224).



Energetically preferred structure: #B | next structure: +10 meV per atom



#A
Here is an optimized crystal structure of Ba2MgBi from Alexandria. Energies are from GGA-PBE.

The value obtained for the total magnetic moment is 0.00 μB/f.u.

The space group is Fm-3m (No. 225) and the conventional cell measures 8.6564, 8.6564 and 8.6564 Å, with angles of 90.00, 90.00 and 90.00 degrees. The asymmetric unit holds Ba at (0.2500, 0.2500, 0.2500), Mg at (0.0000, 0.0000, 0.0000) and Bi at (0.0000, 0.0000, 0.5000).



#B
Here is an optimized crystal structure of Ba2MgBi from Alexandria. Energies are from GGA-PBE.

The value obtained for the total magnetic moment is 0.00 μB/f.u.

The space group is P4/mmm (No. 123) and the conventional cell measures 5.8095, 5.8095 and 4.7833 Å, with angles of 90.00, 90.00 and 90.00 degrees. The asymmetric unit holds Ba at (0.0000, 0.5000, 0.0000), Mg at (0.0000, 0.0000, 0.5000) and Bi at (0.5000, 0.5000, 0.5000).



Energetically preferred structure: #B | next structure: +35 meV per atom



#A
Here is an optimized crystal structure of BaMg6BiO8 from Alexandria. Energies are from GGA-PBE.

The value obtained for the total magnetic moment is 0.00 μB/f.u.

The space group is P4/mmm (No. 123) and the conventional cell measures 4.7905, 4.7905 and 9.4499 Å, with angles of 90.00, 90.00 and 90.00 degrees. The asymmetric unit holds Ba at (0.0000, 0.0000, 0.0000), Mg at (0.0000, 0.5000, 0.2517), Mg at (0.5000, 0.5000, 0.0000), Mg at (0.5000, 0.5000, 0.5000), Bi at (0.0000, 0.0000, 0.5000), O at (0.0000, 0.0000, 0.2612), O at (0.0000, 0.5000, 0.0000), O at (0.0000, 0.5000, 0.5000) and O at (0.5000, 0.5000, 0.2605).



#B
Here is an optimized crystal structure of BaMg6BiO8 from Alexandria. Energies are from GGA-PBE.

The value obtained for the total magnetic moment is 0.31 μB/f.u.

The space group is P4/mmm (No. 123) and the conventional cell measures 4.7229, 4.7229 and 9.7642 Å, with angles of 90.00, 90.00 and 90.00 degrees. The asymmetric unit holds Ba at (0.0000, 0.0000, 0.0000), Mg at (0.0000, 0.0000, 0.5000), Mg at (0.0000, 0.5000, 0.2943), Mg at (0.5000, 0.5000, 0.5000), Bi at (0.5000, 0.5000, 0.0000), O at (0.0000, 0.0000, 0.2893), O at (0.0000, 0.5000, 0.0000), O at (0.0000, 0.5000, 0.5000) and O at (0.5000, 0.5000, 0.2937).



Energetically preferred structure: #B | next structure: +113 meV per atom



#A
Here is an optimized crystal structure of BaMn3Bi from Alexandria. Energies are from GGA-PBE.

The value obtained for the total magnetic moment is 10.27 μB/f.u.

The space group is Pm-3m (No. 221) and the conventional cell measures 5.2721, 5.2721 and 5.2721 Å, with angles of 90.00, 90.00 and 90.00 degrees. The asymmetric unit holds Ba at (0.0000, 0.0000, 0.0000), Mn at (0.0000, 0.5000, 0.5000) and Bi at (0.5000, 0.5000, 0.5000).



#B
Here is an optimized crystal structure of BaMn3Bi from Alexandria. Energies are from GGA-PBE.

The value obtained for the total magnetic moment is 11.90 μB/f.u.

The space group is Pm-3m (No. 221) and the conventional cell measures 5.2826, 5.2826 and 5.2826 Å, with angles of 90.00, 90.00 and 90.00 degrees. The asymmetric unit holds Ba at (0.0000, 0.0000, 0.0000), Mn at (0.0000, 0.0000, 0.5000) and Bi at (0.5000, 0.5000, 0.5000).



Energetically preferred structure: #A | next structure: +931 meV per atom



#A
Here is an optimized crystal structure of BaBi3Mo from Alexandria. Energies are from GGA-PBE.

The value obtained for the total magnetic moment is 0.00 μB/f.u.

The space group is Pm-3m (No. 221) and the conventional cell measures 6.0943, 6.0943 and 6.0943 Å, with angles of 90.00, 90.00 and 90.00 degrees. The asymmetric unit holds Ba at (0.0000, 0.0000, 0.0000), Bi at (0.0000, 0.0000, 0.5000) and Mo at (0.5000, 0.5000, 0.5000).



#B
Here is an optimized crystal structure of BaBi3Mo from Alexandria. Energies are from GGA-PBE.

The value obtained for the total magnetic moment is 0.64 μB/f.u.

The space group is Pm-3m (No. 221) and the conventional cell measures 5.5426, 5.5426 and 5.5426 Å, with angles of 90.00, 90.00 and 90.00 degrees. The asymmetric unit holds Ba at (0.0000, 0.0000, 0.0000), Bi at (0.0000, 0.5000, 0.5000) and Mo at (0.5000, 0.5000, 0.5000).



Energetically preferred structure: #B | next structure: +2025 meV per atom



#A
Here is an optimized crystal structure of BaBiMo3 from Alexandria. Energies are from GGA-PBE.

The value obtained for the total magnetic moment is 4.99 μB/f.u.

The space group is Pm-3m (No. 221) and the conventional cell measures 5.2679, 5.2679 and 5.2679 Å, with angles of 90.00, 90.00 and 90.00 degrees. The asymmetric unit holds Ba at (0.0000, 0.0000, 0.0000), Bi at (0.5000, 0.5000, 0.5000) and Mo at (0.0000, 0.5000, 0.5000).



#B
Here is an optimized crystal structure of BaBiMo3 from Alexandria. Energies are from GGA-PBE.

The value obtained for the total magnetic moment is 3.93 μB/f.u.

The space group is Pm-3m (No. 221) and the conventional cell measures 5.0712, 5.0712 and 5.0712 Å, with angles of 90.00, 90.00 and 90.00 degrees. The asymmetric unit holds Ba at (0.0000, 0.0000, 0.0000), Bi at (0.5000, 0.5000, 0.5000) and Mo at (0.0000, 0.0000, 0.5000).



Energetically preferred structure: #A | next structure: +899 meV per atom



#A
Here is an optimized crystal structure of Ba4Bi2N from Alexandria. Energies are from GGA-PBE.

The value obtained for the total magnetic moment is 0.58 μB/f.u.

The space group is I4/mmm (No. 139) and the conventional cell measures 5.4246, 5.4246 and 18.6416 Å, with angles of 90.00, 90.00 and 90.00 degrees. The asymmetric unit holds Ba at (0.0000, 0.0000, 0.1660), Ba at (0.0000, 0.5000, 0.0000), Bi at (0.0000, 0.0000, 0.3613) and N at (0.0000, 0.0000, 0.0000).



#B
Here is an optimized crystal structure of Ba4Bi2N from Alexandria. Energies are from GGA-PBE.

The value obtained for the total magnetic moment is 0.00 μB/f.u.

The space group is P2_1/m (No. 11) and the conventional cell measures 7.5433, 7.8242 and 10.5172 Å, with angles of 90.00, 109.83 and 90.00 degrees. The asymmetric unit holds Ba at (0.0063, 0.0043, 0.2716), Ba at (0.3663, 0.7500, 0.0488), Ba at (0.4234, 0.7500, 0.6508), Bi at (0.1886, 0.2500, 0.0364), Bi at (0.3052, 0.2500, 0.5860) and N at (0.2154, 0.7500, 0.7937).



Energetically preferred structure: #A | next structure: +36 meV per atom



#A
Here is an optimized crystal structure of BaBiSe2N from Alexandria. Energies are from GGA-PBE.

The value obtained for the total magnetic moment is 1.38 μB/f.u.

The space group is P4/mmm (No. 123) and the conventional cell measures 5.6610, 5.6610 and 4.5080 Å, with angles of 90.00, 90.00 and 90.00 degrees. The asymmetric unit holds Ba at (0.0000, 0.0000, 0.0000), Bi at (0.5000, 0.5000, 0.5000), Se at (0.0000, 0.5000, 0.5000) and N at (0.5000, 0.5000, 0.0000).



#B
Here is an optimized crystal structure of BaBiSe2N from Alexandria. Energies are from GGA-PBE.

The value obtained for the total magnetic moment is 2.07 μB/f.u.

The space group is P4/mmm (No. 123) and the conventional cell measures 6.1085, 6.1085 and 5.0131 Å, with angles of 90.00, 90.00 and 90.00 degrees. The asymmetric unit holds Ba at (0.0000, 0.0000, 0.0000), Bi at (0.5000, 0.5000, 0.5000), Se at (0.0000, 0.5000, 0.0000) and N at (0.0000, 0.0000, 0.5000).



Energetically preferred structure: #A | next structure: +1001 meV per atom



#A
Here is an optimized crystal structure of BaBiTe2N from Alexandria. Energies are from GGA-PBE.

The value obtained for the total magnetic moment is 1.93 μB/f.u.

The space group is P4/mmm (No. 123) and the conventional cell measures 6.0794, 6.0794 and 4.6651 Å, with angles of 90.00, 90.00 and 90.00 degrees. The asymmetric unit holds Ba at (0.0000, 0.0000, 0.0000), Bi at (0.5000, 0.5000, 0.5000), Te at (0.0000, 0.5000, 0.5000) and N at (0.5000, 0.5000, 0.0000).



#B
Here is an optimized crystal structure of BaBiTe2N from Alexandria. Energies are from GGA-PBE.

The value obtained for the total magnetic moment is 0.00 μB/f.u.

The space group is P4/mmm (No. 123) and the conventional cell measures 6.4875, 6.4875 and 4.3612 Å, with angles of 90.00, 90.00 and 90.00 degrees. The asymmetric unit holds Ba at (0.0000, 0.0000, 0.0000), Bi at (0.5000, 0.5000, 0.5000), Te at (0.0000, 0.5000, 0.0000) and N at (0.0000, 0.0000, 0.5000).



Energetically preferred structure: #A | next structure: +870 meV per atom